1.
A relaxed structure of MgTi2Ir, computed with PBE.

Summary:
As for the energy of formation from the pure elements: -31.8 kJ per mole of atoms. As for the space-group type: No. 123. Its crystal system is tetragonal.

Cell: 4.2800 4.2800 3.5299 Å, 90.00 90.00 90.00°
With the nearest neighbours (Å) after each atom.
Fractional coordinates of all 4 atoms:
Mg1 0.0000 0.0000 0.0000  8 Ti 2.77, 4 Ir 3.03
Ti1 0.0000 0.5000 0.5000  4 Mg 2.77, 4 Ir 2.77, 4 Ti 3.03
Ti2 0.5000 0.0000 0.5000  4 Mg 2.77, 4 Ir 2.77, 4 Ti 3.03
Ir1 0.5000 0.5000 0.0000  8 Ti 2.77, 4 Mg 3.03

***

2.
A relaxed structure of Mg2TiIr2, computed with PBE.

Summary:
As for the energy of formation from the pure elements: -18.4 kJ per mole of atoms. As for the space-group type: No. 127. Its crystal system is tetragonal. Its relative energy among the computed polymorphs is 387 meV/atom.

Cell: 7.4180 7.4180 2.9090 Å, 90.00 90.00 90.00°
With the nearest neighbours (Å) after each atom.
Fractional coordinates of all 10 atoms:
Mg1 0.1219 0.3781 0.0000  6 Ir 2.54-2.70, 1 Mg 2.56
Mg2 0.3781 0.8781 0.0000  6 Ir 2.54-2.70, 1 Mg 2.56
Mg3 0.6219 0.1219 0.0000  6 Ir 2.54-2.70, 1 Mg 2.56
Mg4 0.8781 0.6219 0.0000  6 Ir 2.54-2.70, 1 Mg 2.56
Ti1 0.0000 0.0000 0.0000  2 Ti 2.91, 4 Mg 2.95, 8 Ir 3.09
Ti2 0.5000 0.5000 0.0000  2 Ti 2.91, 4 Mg 2.95, 8 Ir 3.09
Ir1 0.1793 0.6793 0.5000  6 Mg 2.54-2.70
Ir2 0.3207 0.1793 0.5000  6 Mg 2.54-2.70
Ir3 0.6793 0.8207 0.5000  6 Mg 2.54-2.70
Ir4 0.8207 0.3207 0.5000  6 Mg 2.54-2.70

***

3.
A relaxed structure of Mg2TiIr2, computed with PBE.

Summary:
As for the energy of formation from the pure elements: -55.8 kJ per mole of atoms. As for the space-group type: No. 65. Its crystal system is orthorhombic. Its relative energy among the computed polymorphs is 0 meV/atom.

Cell: 9.5866 9.5866 3.0354 Å, 90.00 90.00 161.69°
With the nearest neighbours (Å) after each atom.
Fractional coordinates of all 5 atoms:
Mg1 0.1724 0.8276 0.0000  4 Ir 2.75, 4 Mg 3.04-3.05
Mg2 0.8276 0.1724 0.0000  4 Ir 2.75, 4 Mg 3.04-3.05
Ti1 0.0000 0.0000 0.0000  8 Ir 2.65
Ir1 0.4184 0.5816 0.5000  4 Ti 2.65, 4 Mg 2.75
Ir2 0.5816 0.4184 0.5000  4 Ti 2.65, 4 Mg 2.75

***

4.
A relaxed structure of MgTi2Ir, computed with PBE.

Summary:
As for the energy of formation from the pure elements: -30.1 kJ per mole of atoms. As for the space-group type: No. 123. Its crystal system is tetragonal.

Cell: 3.2196 3.2196 6.4719 Å, 90.00 90.00 90.00°
With the nearest neighbours (Å) after each atom.
Fractional coordinates of all 4 atoms:
Mg1 0.0000 0.0000 0.0000  8 Ti 2.90, 4 Mg 3.22, 2 Ir 3.24
Ti1 0.5000 0.5000 0.2766  4 Ir 2.70, 1 Ti 2.89, 4 Mg 2.90
Ti2 0.5000 0.5000 0.7234  4 Ir 2.70, 1 Ti 2.89, 4 Mg 2.90
Ir1 0.0000 0.0000 0.5000  8 Ti 2.70